Record 1
## Er4Sc5In (PBE-GGA)

Data for a relaxed Er4Sc5In crystal.

POSCAR file:
```
Er4Sc5In
1.0
-5.037 5.037 2.744
5.037 -5.037 2.744
5.037 5.037 -2.744
Er Sc In
4 5 1
Direct
0.000 0.314 0.314
0.000 0.686 0.686
0.314 0.000 0.314
0.686 0.000 0.686
0.310 0.310 0.631
0.310 0.679 0.000
0.679 0.310 0.000
0.679 0.679 0.369
0.769 0.769 0.000
0.256 0.256 0.000
```

Computed properties:
Fermi-level density of states: 14.8 states/eV/f.u.
Energy relative to the elements: 0.0890 eV/atom
Calculated volume: 278.5 Å³/cell
Space group: I4mm
Crystal system: tetragonal

---

Record 2
## Er2Sc3In2 (PBE-GGA)

Data for a relaxed Er2Sc3In2 crystal.

POSCAR file:
```
Er2Sc3In2
1.0
2.619 -10.493 0.000
2.619 10.493 0.000
0.000 0.000 3.139
Er Sc In
2 3 2
Direct
0.077 0.923 0.000
0.923 0.077 0.000
0.219 0.781 0.000
0.500 0.500 0.000
0.781 0.219 0.000
0.352 0.648 0.500
0.648 0.352 0.500
```

Computed properties:
Fermi-level density of states: 9.0 states/eV/f.u.
Energy relative to the elements: -0.0213 eV/atom
Calculated volume: 172.6 Å³/cell
Space group: Cmmm
Crystal system: orthorhombic

---

Record 3
## Er2ScIn4 (PBE-GGA)

Data for a relaxed Er2ScIn4 crystal.

POSCAR file:
```
Er2ScIn4
1.0
-2.691 2.691 7.749
2.691 -2.691 7.749
2.691 2.691 -7.749
Er Sc In
2 1 4
Direct
0.111 0.111 0.000
0.889 0.889 0.000
0.500 0.500 0.000
0.000 0.500 0.500
0.312 0.312 0.000
0.500 0.000 0.500
0.688 0.688 0.000
```

Computed properties:
Fermi-level density of states: 9.7 states/eV/f.u.
Energy relative to the elements: 0.1347 eV/atom
Calculated volume: 224.5 Å³/cell
Space group: I4/mmm
Crystal system: tetragonal

---

Record 4
## Er2Sc8In (PBE-GGA)

Data for a relaxed Er2Sc8In crystal.

POSCAR file:
```
Er2Sc8In
1.0
4.160 -7.566 0.000
4.160 7.566 0.000
-2.917 0.000 4.483
Er Sc In
2 8 1
Direct
0.196 0.804 0.000
0.804 0.196 0.000
0.078 0.078 0.300
0.164 0.397 0.815
0.300 0.700 0.500
0.397 0.164 0.815
0.603 0.836 0.185
0.700 0.300 0.500
0.836 0.603 0.185
0.922 0.922 0.700
0.500 0.500 0.500
```

Computed properties:
Fermi-level density of states: 18.1 states/eV/f.u.
Energy relative to the elements: 0.1009 eV/atom
Calculated volume: 282.2 Å³/cell
Space group: C2/m
Crystal system: monoclinic

---

Record 5
## ErSc5In2 (PBE-GGA)

Data for a relaxed ErSc5In2 crystal.

POSCAR file:
```
ErSc5In2
1.0
2.366 -5.492 0.000
2.366 5.492 0.000
0.000 0.000 15.779
Er Sc In
2 10 4
Direct
0.221 0.779 0.750
0.779 0.221 0.250
0.060 0.940 0.250
0.132 0.868 0.541
0.132 0.868 0.959
0.445 0.555 0.600
0.445 0.555 0.900
0.555 0.445 0.100
0.555 0.445 0.400
0.868 0.132 0.041
0.868 0.132 0.459
0.940 0.060 0.750
0.263 0.737 0.124
0.263 0.737 0.376
0.737 0.263 0.624
0.737 0.263 0.876
```

Computed properties:
Fermi-level density of states: 12.7 states/eV/f.u.
Energy relative to the elements: -0.1160 eV/atom
Calculated volume: 410.0 Å³/cell
Space group: Cmcm
Crystal system: orthorhombic

---

Record 6
## Er2ScIn3 (PBE-GGA)

Data for a relaxed Er2ScIn3 crystal.

POSCAR file:
```
Er2ScIn3
1.0
3.478 0.000 0.000
0.000 3.478 0.000
0.000 0.000 12.281
Er Sc In
2 1 3
Direct
0.000 0.000 0.171
0.000 0.000 0.829
0.000 0.000 0.500
0.500 0.500 0.000
0.500 0.500 0.344
0.500 0.500 0.656
```

Computed properties:
Fermi-level density of states: 3.7 states/eV/f.u.
Energy relative to the elements: -0.4323 eV/atom
Calculated volume: 148.5 Å³/cell
Space group: P4/mmm
Crystal system: tetragonal

---

Record 7
## Er3ScIn (PBE-GGA)

Data for a relaxed Er3ScIn crystal.

POSCAR file:
```
Er3ScIn
1.0
2.357 -12.148 0.000
2.357 12.148 0.000
0.000 0.000 4.723
Er Sc In
6 2 2
Direct
0.052 0.948 0.750
0.250 0.750 0.750
0.446 0.554 0.750
0.554 0.446 0.250
0.750 0.250 0.250
0.948 0.052 0.250
0.151 0.849 0.250
0.849 0.151 0.750
0.348 0.652 0.250
0.652 0.348 0.750
```

Computed properties:
Fermi-level density of states: 6.0 states/eV/f.u.
Energy relative to the elements: -0.1777 eV/atom
Calculated volume: 270.4 Å³/cell
Space group: Cmcm
Crystal system: orthorhombic

---

Record 8
## Er2Sc2In3 (PBE-GGA)

Data for a relaxed Er2Sc2In3 crystal.

POSCAR file:
```
Er2Sc2In3
1.0
2.334 -11.337 0.000
2.334 11.337 0.000
0.000 0.000 3.246
Er Sc In
2 2 3
Direct
0.074 0.926 0.000
0.926 0.074 0.000
0.211 0.789 0.000
0.789 0.211 0.000
0.343 0.657 0.500
0.500 0.500 0.500
0.657 0.343 0.500
```

Computed properties:
Fermi-level density of states: 6.9 states/eV/f.u.
Energy relative to the elements: -0.2955 eV/atom
Calculated volume: 171.7 Å³/cell
Space group: Cmmm
Crystal system: orthorhombic